[1]
KLa2Cr | Alexandria via LeMat-Bulk | PBE-GGA | relaxed; energy of formation = 618.4 meV per atom; total magnetization = 0.912 μB/atom; excess energy over the best structure of this formula in the dataset = 0.248 eV per atom; space-group type = Immm (71)
1.0
-5.001 4.293 -2.762
-6.548 -2.576 -1.248
5.256 1.624 4.562
Cr K La
1 1 2
Cartesian
-2.760 3.388 -0.103
-3.533 -0.047 0.654
-11.072 1.646 -3.845
-6.251 0.929 -2.170

[2]
KLa2Cr | Alexandria via LeMat-Bulk | PBE-GGA | relaxed; energy of formation = 738.8 meV per atom; total magnetization = 1.203 μB/atom; excess energy over the best structure of this formula in the dataset = 0.368 eV per atom; space-group type = C2/m (12)
1.0
-1.202 -1.253 -6.288
-4.851 -2.330 4.633
-2.476 2.398 -0.289
Cr K La
1 1 2
Cartesian
-3.664 0.034 2.172
-3.026 -1.791 -0.828
0.000 0.000 0.000
-1.839 0.572 -3.288

[3]
KLa2Cr | Alexandria via LeMat-Bulk | PBE-GGA | relaxed; energy of formation = 468.8 meV per atom; total magnetization = 0.695 μB/atom; excess energy over the best structure of this formula in the dataset = 0.098 eV per atom; space-group type = Cm (8)
1.0
-1.580 -2.242 3.403
-0.961 -4.245 0.398
9.031 -4.637 4.951
Cr K La
1 1 2
Cartesian
5.685 -6.278 5.356
1.716 -2.487 2.011
8.017 -4.709 4.791
3.346 -7.848 5.921

[4]
KLa2Cr | Alexandria via LeMat-Bulk | PBE-GGA | relaxed; energy of formation = 470.0 meV per atom; total magnetization = 0.685 μB/atom; excess energy over the best structure of this formula in the dataset = 0.099 eV per atom; space-group type = C2/m (12)
1.0
4.362 -0.214 0.022
2.997 3.177 0.022
0.911 0.367 10.871
Cr K La
1 1 2
Cartesian
6.203 2.497 8.186
2.068 0.832 2.729
0.967 0.389 9.874
4.079 1.642 6.454

[5]
KLa2Cr | Alexandria via LeMat-Bulk | PBE-GGA | relaxed; energy of formation = 529.2 meV per atom; total magnetization = 0.966 μB/atom; excess energy over the best structure of this formula in the dataset = 0.158 eV per atom; space-group type = P4mm (99)
1.0
-1.900 -3.225 0.744
0.215 -0.977 -3.683
8.882 -4.819 1.797
Cr K La
1 1 2
Cartesian
3.966 -2.152 0.802
5.404 -5.490 -0.206
0.504 -0.274 0.102
1.763 -3.515 -0.942

[6]
KLa2Cr | Alexandria via LeMat-Bulk | PBE-GGA | relaxed; energy of formation = 479.7 meV per atom; total magnetization = 0.859 μB/atom; excess energy over the best structure of this formula in the dataset = 0.109 eV per atom; space-group type = R-3m (166)
1.0
12.178 0.023 0.013
11.563 3.820 0.013
11.563 1.872 3.330
Cr K La
1 1 2
Cartesian
8.826 1.429 0.839
26.479 4.286 2.518
34.391 5.567 3.270
18.566 3.005 1.765

[7]
KLa2Cr | Alexandria via LeMat-Bulk | PBE-GGA | relaxed; energy of formation = 742.2 meV per atom; total magnetization = 0.897 μB/atom; excess energy over the best structure of this formula in the dataset = 0.371 eV per atom; space-group type = P4/mmm (123)
1.0
-3.038 -4.681 0.448
4.640 -3.071 -0.619
0.589 0.027 4.281
Cr K La
1 1 2
Cartesian
-1.225 -2.327 2.365
2.615 -1.522 1.831
0.000 0.000 0.000
0.801 -3.876 -0.085

[8]
KLa2Cr | Alexandria via LeMat-Bulk | PBE-GGA | relaxed; energy of formation = 615.1 meV per atom; total magnetization = 0.000 μB/atom; excess energy over the best structure of this formula in the dataset = 0.244 eV per atom; space-group type = Pm (6)
1.0
-1.460 -4.117 -0.252
2.345 -0.984 2.483
-5.445 1.445 7.949
Cr K La
1 1 2
Cartesian
-0.218 -0.175 4.120
-3.247 -1.619 7.287
1.700 -0.793 3.105
-2.002 -1.821 3.366

[9]
KLa2Cr | Alexandria via LeMat-Bulk | PBE-GGA | relaxed; energy of formation = 590.5 meV per atom; total magnetization = 0.697 μB/atom; excess energy over the best structure of this formula in the dataset = 0.220 eV per atom; space-group type = Imm2 (44)
1.0
-8.612 -1.282 -3.874
-4.478 -0.960 -8.357
6.222 -1.785 6.995
Cr K La
1 1 2
Cartesian
-6.741 -1.155 -6.299
-3.410 -2.106 -4.682
-0.105 -0.018 -0.098
-3.159 -1.870 -0.274

[10]
KLa2Cr | Alexandria via LeMat-Bulk | PBE-GGA | relaxed; energy of formation = 986.6 meV per atom; total magnetization = 0.000 μB/atom; excess energy over the best structure of this formula in the dataset = 0.616 eV per atom; space-group type = Fm-3m (225)
1.0
0.000 3.829 3.829
3.829 0.000 3.829
3.829 3.829 0.000
Cr K La
1 1 2
Cartesian
3.829 3.829 3.829
0.000 0.000 0.000
1.915 1.915 1.915
5.744 5.744 5.744

[11]
KLa2Cr | Alexandria via LeMat-Bulk | PBE-GGA | relaxed; energy of formation = 370.8 meV per atom; total magnetization = 0.635 μB/atom; excess energy over the best structure of this formula in the dataset = 0.000 eV per atom; space-group type = P4/mmm (123)
1.0
-3.424 1.410 -0.599
-1.477 -3.425 0.398
-1.137 1.716 10.543
Cr K La
1 1 2
Cartesian
-2.735 -0.579 2.535
-3.304 0.280 7.807
-0.099 0.149 0.915
-0.470 0.709 4.356

[12]
KLa2Cr | Alexandria via LeMat-Bulk | PBE-GGA | relaxed; energy of formation = 770.1 meV per atom; total magnetization = 0.949 μB/atom; excess energy over the best structure of this formula in the dataset = 0.399 eV per atom; space-group type = I-4m2 (119)
1.0
6.661 0.123 0.000
3.005 5.946 0.000
-4.833 -3.035 3.438
Cr K La
1 1 2
Cartesian
4.833 3.035 0.000
3.331 0.061 1.719
0.000 0.000 0.000
1.502 2.973 1.719

[13]
KLaCr4 | Alexandria via LeMat-Bulk | PBE-GGA | relaxed; energy of formation = 1183.2 meV per atom; total magnetization = 0.419 μB/atom; space-group type = F-43m (216)
1.0
0.000 3.845 3.845
3.845 0.000 3.845
3.845 3.845 0.000
K La Cr
1 1 4
Cartesian
5.768 5.768 5.768
0.000 0.000 0.000
2.778 4.912 4.912
4.912 4.912 2.778
4.912 2.778 4.912
2.778 2.778 2.778

[14]
KLa2Cr | Alexandria via LeMat-Bulk | PBE-GGA | relaxed; energy of formation = 794.5 meV per atom; total magnetization = 1.012 μB/atom; excess energy over the best structure of this formula in the dataset = 0.424 eV per atom; space-group type = F-43m (216)
1.0
5.743 0.000 0.000
2.871 4.973 0.000
2.871 1.658 4.689
Cr K La
1 1 2
Cartesian
5.743 3.316 2.345
8.614 4.973 3.517
0.000 0.000 0.000
2.871 1.658 1.172

[15]
KLa3Cr | Alexandria via LeMat-Bulk | PBE-GGA | relaxed; energy of formation = 435.8 meV per atom; total magnetization = 0.294 μB/atom; space-group type = Pm-3m (221)
1.0
-3.408 -0.974 -4.445
-2.679 -4.060 2.944
-3.679 3.859 1.975
Cr K La
1 1 3
Cartesian
0.000 0.000 0.000
-4.883 -0.587 0.237
-1.339 -2.030 1.472
-1.839 1.930 0.987
-1.704 -0.487 -2.223

[16]
KLaCr3 | Alexandria via LeMat-Bulk | PBE-GGA | relaxed; energy of formation = 2257.0 meV per atom; total magnetization = 0.000 μB/atom; space-group type = Pm-3m (221)
1.0
4.726 0.000 0.000
0.000 4.726 0.000
0.000 0.000 4.726
Cr K La
3 1 1
Cartesian
0.000 2.363 0.000
0.000 0.000 2.363
2.363 0.000 0.000
2.363 2.363 2.363
0.000 0.000 0.000

[17]
K3LaCr | Alexandria via LeMat-Bulk | PBE-GGA | relaxed; energy of formation = 1423.3 meV per atom; total magnetization = 0.350 μB/atom; space-group type = Pm-3m (221)
1.0
-2.755 -6.321 1.083
3.688 -2.526 -5.360
5.246 -1.544 4.337
Cr K La
1 3 1
Cartesian
3.090 -5.195 0.030
1.844 -1.263 -2.680
2.623 -0.772 2.169
-1.377 -3.160 0.541
0.000 0.000 0.000

[18]
KLa2MnCr | Alexandria via LeMat-Bulk | PBE-GGA | relaxed; energy of formation = 1472.5 meV per atom; total magnetization = 0.351 μB/atom; space-group type = P4/mmm (123)
1.0
-0.399 0.202 5.238
-4.174 -4.151 -0.158
3.687 -3.724 0.425
Cr K Mn La
1 1 1 2
Cartesian
0.000 0.000 0.000
-2.087 -2.075 -0.079
-0.443 -3.836 2.753
1.844 -1.862 0.212
-0.200 0.101 2.619

[19]
KLa2CrN4 | Alexandria via LeMat-Bulk | PBE-GGA | relaxed; E_form (uncorrected) = -6.8 eV/f.u.; total magnetization = 0.125 μB/atom; space-group type = Fmm2 (42)
1.0
5.983 0.061 0.000
-0.435 5.967 0.000
-2.774 -3.014 3.924
K La Cr N
1 2 1 4
Cartesian
0.000 0.000 0.156
2.991 0.031 2.055
-0.218 2.984 2.055
0.000 0.000 3.893
1.007 1.095 2.911
1.599 4.095 0.858
3.949 1.933 0.858
-1.007 -1.095 2.911